Entry 1:
This record from Alexandria via LeMat-Bulk describes crystalline CaPaTi2O8 at its relaxed geometry. The functional is PBE-GGA.

Output
* formation energy without anion corrections: -3.019 eV/atom
* total moment: 1.03 Bohr magnetons per cell
* E_tot: -8.5980 eV per atom

Cell and atoms, written as CIF:
```
data_CaPaTi2O8
_chemical_formula_sum 'Ca1 Pa1 Ti2 O8'
_symmetry_space_group_name_H-M 'P 1'
_symmetry_Int_Tables_number 1
_cell_length_a 6.633
_cell_length_b 6.633
_cell_length_c 6.633
_cell_angle_alpha 133.88
_cell_angle_beta 133.88
_cell_angle_gamma 67.27
loop_
_symmetry_equiv_pos_as_xyz
'x,y,z'
loop_
_atom_site_label
_atom_site_type_symbol
_atom_site_fract_x
_atom_site_fract_y
_atom_site_fract_z
Ca1 Ca 0.000 0.000 0.000
Pa1 Pa 0.250 0.750 0.500
Ti1 Ti 0.500 0.500 0.000
Ti2 Ti 0.750 0.250 0.500
O1 O 0.012 0.076 0.425
O2 O 0.248 0.661 0.092
O3 O 0.339 0.431 0.587
O4 O 0.413 0.988 0.065
O5 O 0.569 0.156 0.908
O6 O 0.651 0.587 0.575
O7 O 0.844 0.752 0.413
O8 O 0.924 0.349 0.935
```

Entry 2:
This record from Alexandria via LeMat-Bulk describes crystalline CaCuTc2 at its relaxed geometry. The functional is PBE-GGA.

Output
* calculated formation energy: 679 meV per atom
* distance to the lowest polymorph of the same formula: 0.476 eV/atom
* total moment: 0.00 Bohr magnetons per cell
* E_tot: -6.0286 eV per atom

Cell and atoms, written as CIF:
```
data_CaCuTc2
_chemical_formula_sum 'Ca2 Cu2 Tc4'
_symmetry_space_group_name_H-M 'P 1'
_symmetry_Int_Tables_number 1
_cell_length_a 10.359
_cell_length_b 10.359
_cell_length_c 10.359
_cell_angle_alpha 158.49
_cell_angle_beta 158.49
_cell_angle_gamma 30.60
loop_
_symmetry_equiv_pos_as_xyz
'x,y,z'
loop_
_atom_site_label
_atom_site_type_symbol
_atom_site_fract_x
_atom_site_fract_y
_atom_site_fract_z
Ca1 Ca 0.000 0.000 0.000
Ca2 Ca 0.750 0.250 0.500
Cu1 Cu 0.250 0.750 0.500
Cu2 Cu 0.500 0.500 0.000
Tc1 Tc 0.195 0.125 0.570
Tc2 Tc 0.375 0.805 0.930
Tc3 Tc 0.555 0.625 0.430
Tc4 Tc 0.875 0.445 0.070
```

Entry 3:
This record from Alexandria via LeMat-Bulk describes crystalline Nb4PtN at its relaxed geometry. The functional is PBE-GGA.

Output
* formation energy without anion corrections: -0.296 eV/atom
* total moment: 0.00 Bohr magnetons per cell
* E_tot: -9.4031 eV per atom

Cell and atoms, written as CIF:
```
data_Nb4PtN
_chemical_formula_sum 'Nb8 Pt2 N2'
_symmetry_space_group_name_H-M 'P 1'
_symmetry_Int_Tables_number 1
_cell_length_a 7.348
_cell_length_b 4.825
_cell_length_c 6.370
_cell_angle_alpha 90.00
_cell_angle_beta 112.70
_cell_angle_gamma 90.00
loop_
_symmetry_equiv_pos_as_xyz
'x,y,z'
loop_
_atom_site_label
_atom_site_type_symbol
_atom_site_fract_x
_atom_site_fract_y
_atom_site_fract_z
Nb1 Nb 0.135 0.238 0.310
Nb2 Nb 0.135 0.262 0.810
Nb3 Nb 0.243 0.719 0.108
Nb4 Nb 0.243 0.781 0.608
Nb5 Nb 0.757 0.219 0.392
Nb6 Nb 0.757 0.281 0.892
Nb7 Nb 0.865 0.738 0.190
Nb8 Nb 0.865 0.762 0.690
Pt1 Pt 0.500 0.000 0.000
Pt2 Pt 0.500 0.500 0.500
N1 N 0.000 0.000 0.000
N2 N 0.000 0.500 0.500
```

Entry 4:
This record from Alexandria via LeMat-Bulk describes crystalline SmTmRu at its relaxed geometry. The functional is PBE-GGA.

Output
* calculated formation energy: -256 meV per atom
* distance to the lowest polymorph of the same formula: 0.073 eV/atom
* total moment: 0.00 Bohr magnetons per cell
* E_tot: -6.4114 eV per atom

Cell and atoms, written as CIF:
```
data_SmTmRu
_chemical_formula_sum 'Sm1 Tm1 Ru1'
_symmetry_space_group_name_H-M 'P 1'
_symmetry_Int_Tables_number 1
_cell_length_a 4.795
_cell_length_b 4.795
_cell_length_c 4.795
_cell_angle_alpha 60.00
_cell_angle_beta 60.00
_cell_angle_gamma 60.00
loop_
_symmetry_equiv_pos_as_xyz
'x,y,z'
loop_
_atom_site_label
_atom_site_type_symbol
_atom_site_fract_x
_atom_site_fract_y
_atom_site_fract_z
Sm1 Sm 0.000 0.000 0.000
Tm1 Tm 0.500 0.500 0.500
Ru1 Ru 0.750 0.750 0.750
```

Entry 5:
This record from Alexandria via LeMat-Bulk describes crystalline LaCo2Os at its relaxed geometry. The functional is PBE-GGA.

Output
* calculated formation energy: -3 meV per atom
* distance to the lowest polymorph of the same formula: 0.025 eV/atom
* total moment: 2.32 Bohr magnetons per cell
* E_tot: -7.5948 eV per atom

Cell and atoms, written as CIF:
```
data_LaCo2Os
_chemical_formula_sum 'La1 Co2 Os1'
_symmetry_space_group_name_H-M 'P 1'
_symmetry_Int_Tables_number 1
_cell_length_a 5.612
_cell_length_b 5.612
_cell_length_c 5.612
_cell_angle_alpha 43.90
_cell_angle_beta 43.90
_cell_angle_gamma 43.90
loop_
_symmetry_equiv_pos_as_xyz
'x,y,z'
loop_
_atom_site_label
_atom_site_type_symbol
_atom_site_fract_x
_atom_site_fract_y
_atom_site_fract_z
La1 La 0.000 0.000 0.000
Co1 Co 0.504 0.504 0.504
Co2 Co 0.816 0.816 0.816
Os1 Os 0.187 0.187 0.187
```

Entry 6:
This record from Alexandria via LeMat-Bulk describes crystalline Ni2OsRh4 at its relaxed geometry. The functional is PBE-GGA.

Output
* calculated formation energy: 299 meV per atom
* distance to the lowest polymorph of the same formula: 0.000 eV/atom
* total moment: 0.00 Bohr magnetons per cell
* E_tot: -7.1575 eV per atom

Cell and atoms, written as CIF:
```
data_Ni2OsRh4
_chemical_formula_sum 'Ni2 Os1 Rh4'
_symmetry_space_group_name_H-M 'P 1'
_symmetry_Int_Tables_number 1
_cell_length_a 5.233
_cell_length_b 5.233
_cell_length_c 5.233
_cell_angle_alpha 119.21
_cell_angle_beta 119.21
_cell_angle_gamma 91.37
loop_
_symmetry_equiv_pos_as_xyz
'x,y,z'
loop_
_atom_site_label
_atom_site_type_symbol
_atom_site_fract_x
_atom_site_fract_y
_atom_site_fract_z
Ni1 Ni 0.000 0.500 0.500
Ni2 Ni 0.500 0.000 0.500
Os1 Os 0.000 0.000 0.000
Rh1 Rh 0.000 0.000 0.500
Rh2 Rh 0.000 0.500 0.000
Rh3 Rh 0.500 0.000 0.000
Rh4 Rh 0.500 0.500 0.500
```

Q: Among the records above, which one has the highest E_tot?
A: CaCuTc2

Q: What is the formula in the sixth record?
A: Ni2OsRh4

Q: Which value of total moment does entry 3 give?
A: 0.00 Bohr magnetons per cell

Q: Which value of E_tot does entry 3 give?
A: -9.4031 eV per atom